A crystal of Mo2W relaxed with PBEsol. Source: Alexandria, functional SCAN. Values from VASP.

Calculated values
- energy relative to the elements (eV/atom) = -0.003
- energy above the lowest structure with this stoichiometry (eV per atom) = 0.0039
- raw total energy (eV/atom) = -46.49

Cell and atoms, written as Quantum ESPRESSO input:
```
&SYSTEM
  ibrav = 0, nat = 6, ntyp = 2
/
ATOMIC_SPECIES
Mo 95.94 Mo.upf
W 183.84 W.upf
ATOMIC_POSITIONS crystal
Mo 0.500 0.001 0.749
Mo 0.167 0.334 0.583
Mo 0.833 0.666 0.417
Mo 0.500 0.999 0.251
W 0.166 0.332 0.084
W 0.834 0.668 0.916
CELL_PARAMETERS angstrom
-1.881 -2.425 0.651
2.208 -0.920 -4.609
4.003 -1.915 4.438
```



A crystal of MoW relaxed with PBEsol. Source: Alexandria, functional SCAN. Values from VASP.

Calculated values
- energy relative to the elements (eV/atom) = 0.381
- energy above the lowest structure with this stoichiometry (eV per atom) = 0.3921
- raw total energy (eV/atom) = -51.91

Cell and atoms, written as Quantum ESPRESSO input:
```
&SYSTEM
  ibrav = 0, nat = 4, ntyp = 2
/
ATOMIC_SPECIES
Mo 95.94 Mo.upf
W 183.84 W.upf
ATOMIC_POSITIONS crystal
Mo 0.500 0.000 0.125
Mo 0.000 0.500 0.875
W 0.500 0.000 0.625
W 0.000 0.500 0.375
CELL_PARAMETERS angstrom
2.642 0.000 0.000
0.000 2.642 0.000
0.000 0.000 9.067
```



A crystal of MoW relaxed with PBEsol. Source: Alexandria, functional SCAN. Values from VASP.

Calculated values
- energy relative to the elements (eV/atom) = -0.007
- energy above the lowest structure with this stoichiometry (eV per atom) = 0.0040
- raw total energy (eV/atom) = -52.29

Cell and atoms, written as Quantum ESPRESSO input:
```
&SYSTEM
  ibrav = 0, nat = 4, ntyp = 2
/
ATOMIC_SPECIES
Mo 95.94 Mo.upf
W 183.84 W.upf
ATOMIC_POSITIONS crystal
Mo 0.000 0.000 0.000
Mo 0.250 0.250 0.250
W 0.750 0.750 0.750
W 0.500 0.500 0.500
CELL_PARAMETERS angstrom
4.440 0.000 0.000
2.220 3.846 0.000
2.220 1.282 3.626
```



A crystal of MoW relaxed with PBEsol. Source: Alexandria, functional SCAN. Values from VASP.

Calculated values
- energy relative to the elements (eV/atom) = 0.463
- energy above the lowest structure with this stoichiometry (eV per atom) = 0.4735
- raw total energy (eV/atom) = -51.82

Cell and atoms, written as Quantum ESPRESSO input:
```
&SYSTEM
  ibrav = 0, nat = 4, ntyp = 2
/
ATOMIC_SPECIES
Mo 95.94 Mo.upf
W 183.84 W.upf
ATOMIC_POSITIONS crystal
Mo 0.123 0.471 0.246
Mo 0.877 0.529 0.754
W 0.627 0.979 0.253
W 0.373 0.021 0.747
CELL_PARAMETERS angstrom
-1.332 2.071 0.767
-4.359 -2.102 -1.891
2.057 -2.038 4.737
```



A crystal of Mo4W5 relaxed with PBEsol. Source: Alexandria, functional SCAN. Values from VASP.

Calculated values
- energy relative to the elements (eV/atom) = -0.004
- raw total energy (eV/atom) = -54.22

Cell and atoms, written as Quantum ESPRESSO input:
```
&SYSTEM
  ibrav = 0, nat = 9, ntyp = 2
/
ATOMIC_SPECIES
Mo 95.94 Mo.upf
W 183.84 W.upf
ATOMIC_POSITIONS crystal
Mo 0.334 0.666 0.666
Mo 0.666 0.334 0.334
Mo 0.000 0.334 0.666
Mo 0.000 0.666 0.334
W 0.000 0.000 0.000
W 0.333 0.000 0.334
W 0.667 0.000 0.666
W 0.667 0.666 0.000
W 0.333 0.334 0.000
CELL_PARAMETERS angstrom
-2.665 -1.485 -0.762
1.790 -3.757 -5.432
0.322 -5.780 3.649
```



A crystal of MoW3 relaxed with PBEsol. Source: Alexandria, functional SCAN. Values from VASP.

Calculated values
- energy relative to the elements (eV/atom) = -0.006
- energy above the lowest structure with this stoichiometry (eV per atom) = 0.0000
- raw total energy (eV/atom) = -60.99

Cell and atoms, written as Quantum ESPRESSO input:
```
&SYSTEM
  ibrav = 0, nat = 4, ntyp = 2
/
ATOMIC_SPECIES
Mo 95.94 Mo.upf
W 183.84 W.upf
ATOMIC_POSITIONS crystal
Mo 0.000 0.000 0.000
W 0.750 0.750 0.750
W 0.500 0.500 0.500
W 0.250 0.250 0.250
CELL_PARAMETERS angstrom
-2.341 1.914 3.263
-2.985 -2.378 2.287
0.797 -1.085 4.241
```



A crystal of MoW relaxed with PBEsol. Source: Alexandria, functional SCAN. Values from VASP.

Calculated values
- energy relative to the elements (eV/atom) = -0.006
- energy above the lowest structure with this stoichiometry (eV per atom) = 0.0051
- raw total energy (eV/atom) = -52.29

Cell and atoms, written as Quantum ESPRESSO input:
```
&SYSTEM
  ibrav = 0, nat = 2, ntyp = 2
/
ATOMIC_SPECIES
Mo 95.94 Mo.upf
W 183.84 W.upf
ATOMIC_POSITIONS crystal
Mo 0.000 0.000 0.000
W 0.500 0.500 0.500
CELL_PARAMETERS angstrom
-0.652 0.270 -2.625
2.670 -0.454 0.230
-0.721 -4.379 -0.271
```



A crystal of MoW relaxed with PBEsol. Source: Alexandria, functional SCAN. Values from VASP.

Calculated values
- energy relative to the elements (eV/atom) = -0.004
- energy above the lowest structure with this stoichiometry (eV per atom) = 0.0073
- raw total energy (eV/atom) = -52.29

Cell and atoms, written as Quantum ESPRESSO input:
```
&SYSTEM
  ibrav = 0, nat = 6, ntyp = 2
/
ATOMIC_SPECIES
Mo 95.94 Mo.upf
W 183.84 W.upf
ATOMIC_POSITIONS crystal
Mo 0.834 0.668 0.666
Mo 0.500 0.000 0.500
Mo 0.166 0.332 0.334
W 0.833 0.666 0.168
W 0.500 0.000 0.000
W 0.167 0.334 0.832
CELL_PARAMETERS angstrom
-1.841 2.511 0.425
-2.977 -3.832 -1.868
0.398 -0.762 6.228
```